Below is an optimized crystal structure of DyTh2Sb4, with properties calculated at the PBE level.

```
DyTh2Sb4
1.0
-5.694 2.837 -5.040
6.165 -3.079 -4.288
-3.253 -5.790 4.665
Dy Th Sb
2 4 8
direct
0.750 0.500 0.250 Dy
0.000 0.000 0.000 Dy
0.375 0.871 0.746 Th
0.496 0.371 0.625 Th
0.875 0.129 0.504 Th
0.254 0.629 0.125 Th
0.788 0.256 0.883 Sb
0.962 0.596 0.718 Sb
0.628 0.744 0.532 Sb
0.122 0.404 0.367 Sb
0.468 0.096 0.212 Sb
0.633 0.756 0.038 Sb
0.282 0.244 0.878 Sb
0.117 0.904 0.372 Sb
```

Properties
Its uncorrected formation energy is -0.902 eV per atom. As for the crystal system: tetragonal. As for the total energy: -6.035 eV per atom.

Below is an optimized crystal structure of PuGaTcIr, with properties calculated at the PBE level.

```
PuGaTcIr
1.0
4.574 0.000 0.000
2.287 3.961 0.000
2.287 1.320 3.735
Ir Tc Ga Pu
1 1 1 1
direct
0.500 0.500 0.500 Ir
0.000 0.000 0.000 Tc
0.250 0.250 0.250 Ga
0.750 0.750 0.750 Pu
```

Properties
As for the crystal system: cubic. As for the total energy: -9.443 eV per atom. For the energy of formation from the pure elements, the calculation gives -297 meV/atom.

Below is an optimized crystal structure of BeSe5, with properties calculated at the PBE level.

```
BeSe5
1.0
3.203 -5.548 0.000
3.203 5.548 0.000
0.000 0.000 3.433
Be Se
1 5
direct
0.000 0.000 0.500 Be
0.735 0.000 0.000 Se
0.265 0.265 0.000 Se
0.000 0.735 0.000 Se
0.667 0.333 0.500 Se
0.333 0.667 0.500 Se
```

Properties
Its uncorrected formation energy is 0.307 eV per atom. As for the crystal system: hexagonal. As for the total energy: -3.218 eV per atom. As for the polymorph energy (0 for the lowest one): 2.23 eV per formula unit.

Below is an optimized crystal structure of Tl7H12Cl, with properties calculated at the PBE level.

```
Tl7H12Cl
1.0
7.916 -0.905 -3.084
-4.200 6.771 -3.084
-0.573 -0.905 8.476
Tl H Cl
7 12 1
direct
0.313 0.837 0.004 Tl
0.996 0.687 0.163 Tl
0.163 0.996 0.687 Tl
0.500 0.500 0.500 Tl
0.837 0.004 0.313 Tl
0.004 0.313 0.837 Tl
0.687 0.163 0.996 Tl
0.762 0.395 0.402 H
0.598 0.238 0.605 H
0.853 0.528 0.516 H
0.484 0.147 0.472 H
0.605 0.598 0.238 H
0.472 0.484 0.147 H
0.528 0.516 0.853 H
0.395 0.402 0.762 H
0.516 0.853 0.528 H
0.147 0.472 0.484 H
0.402 0.762 0.395 H
0.238 0.605 0.598 H
0.000 0.000 0.000 Cl
```

Properties
As for the crystal system: trigonal. As for the total energy: -2.848 eV per atom.

Below is an optimized crystal structure of Be2H6Os, with properties calculated at the PBE level.

```
Be2H6Os
1.0
-0.557 0.179 3.939
-1.683 -4.741 -0.023
5.722 -2.038 1.443
Be H Os
4 12 2
direct
0.005 0.691 0.817 Be
0.495 0.191 0.683 Be
0.505 0.809 0.317 Be
0.995 0.309 0.183 Be
0.203 0.005 0.248 H
0.204 0.282 0.565 H
0.258 0.244 0.922 H
0.242 0.744 0.578 H
0.296 0.782 0.935 H
0.297 0.505 0.252 H
0.797 0.995 0.752 H
0.796 0.718 0.435 H
0.742 0.756 0.078 H
0.758 0.256 0.422 H
0.704 0.218 0.065 H
0.703 0.495 0.748 H
0.500 0.500 0.000 Os
0.000 0.000 0.500 Os
```

Properties
As for the crystal system: monoclinic. As for the total energy: -4.351 eV per atom. As for the polymorph energy (0 for the lowest one): 0.00 eV per formula unit.

Below is an optimized crystal structure of RbBi, with properties calculated at the PBE level.

```
RbBi
1.0
-2.116 -5.591 4.843
7.138 -2.865 -0.189
1.941 4.442 5.975
Rb Bi
4 4
direct
0.000 0.000 0.000 Rb
0.000 0.500 0.500 Rb
0.500 0.000 0.500 Rb
0.500 0.500 0.000 Rb
0.500 0.500 0.500 Bi
0.500 0.000 0.000 Bi
0.000 0.500 0.000 Bi
0.000 0.000 0.500 Bi
```

Properties
As for the crystal system: cubic. As for the total energy: -2.126 eV per atom. For the energy of formation from the pure elements, the calculation gives 298 meV/atom. As for the polymorph energy (0 for the lowest one): 1.31 eV per formula unit.

Below is an optimized crystal structure of Nd2AgPt, with properties calculated at the PBE level.

```
Nd2AgPt
1.0
4.253 0.000 0.000
2.127 3.684 0.000
2.127 1.228 7.277
Nd Ag Pt
2 1 1
direct
0.072 0.072 0.783 Nd
0.261 0.261 0.217 Nd
0.502 0.502 0.495 Ag
0.665 0.665 0.004 Pt
```

Properties
As for the crystal system: trigonal. As for the total energy: -5.222 eV per atom. For the energy of formation from the pure elements, the calculation gives -615 meV/atom.

Below is an optimized crystal structure of BiOsSN2, with properties calculated at the PBE level.

```
BiOsSN2
1.0
3.923 0.000 0.000
0.000 3.923 0.000
0.000 0.000 5.016
S Os Bi N
1 1 1 2
direct
0.000 0.000 0.500 S
0.000 0.000 0.000 Os
0.500 0.500 0.500 Bi
0.000 0.500 0.000 N
0.500 0.000 0.000 N
```

Properties
Its uncorrected formation energy is 0.660 eV per atom. As for the crystal system: tetragonal. As for the total energy: -6.518 eV per atom. As for the polymorph energy (0 for the lowest one): 0.00 eV per formula unit.

Q: Which formula does entry 7 have?
A: Nd2AgPt